A PBEsol-optimized structure of CsYGa2, computed with SCAN.

a = 7.6552 Å, b = 7.6552 Å, c = 7.6552 Å
α = 90.00°, β = 90.00°, γ = 90.00°
Space group Fm-3m (No. 225)
Unique sites:
Cs 0.0000 0.0000 0.0000 (multiplicity 4)
Y 0.0000 0.0000 0.5000 (multiplicity 4)
Ga 0.2500 0.2500 0.2500 (multiplicity 8)

Results
DOS at the Fermi energy, states/eV/atom: 0.769
Total energy, eV/f.u.: -97.4

A PBEsol-optimized structure of TiTl2GaFe, computed with SCAN.

a = 4.9231 Å, b = 4.9231 Å, c = 4.4875 Å
α = 90.00°, β = 90.00°, γ = 90.00°
Space group P4/mmm (No. 123)
Unique sites:
Ti 0.0000 0.0000 0.0000 (multiplicity 1)
Tl 0.0000 0.5000 0.5000 (multiplicity 2)
Ga 0.5000 0.5000 0.0000 (multiplicity 1)
Fe 0.5000 0.5000 0.5000 (multiplicity 1)

Results
DOS at the Fermi energy, states/eV/atom: 0.622
Total energy, eV/f.u.: -192.5

A PBEsol-optimized structure of MgNiAg2, computed with SCAN.

a = 2.8714 Å, b = 3.7292 Å, c = 5.6699 Å
α = 90.00°, β = 90.00°, γ = 90.00°
Space group Pmmm (No. 47)
Unique sites:
Mg 0.0000 0.0000 0.0000 (multiplicity 1)
Ni 0.0000 0.0000 0.5000 (multiplicity 1)
Ag 0.5000 0.5000 0.2630 (multiplicity 2)

Results
DOS at the Fermi energy, states/eV/atom: 0.373
Total energy, eV/f.u.: -83.7

A PBEsol-optimized structure of Be2PPb, computed with SCAN.

a = 6.4231 Å, b = 6.4231 Å, c = 6.4231 Å
α = 90.00°, β = 90.00°, γ = 90.00°
Space group F-43m (No. 216)
Unique sites:
Be 0.0000 0.0000 0.0000 (multiplicity 4)
Be 0.2500 0.2500 0.2500 (multiplicity 4)
P 0.2500 0.2500 0.7500 (multiplicity 4)
Pb 0.0000 0.0000 0.5000 (multiplicity 4)

Results
DOS at the Fermi energy, states/eV/atom: 0.607
Total energy, eV/f.u.: -90.7
Offset from the most stable computed form, eV/atom: 0.5669

A PBEsol-optimized structure of Sc3Ir2, computed with SCAN.

a = 4.4628 Å, b = 4.4628 Å, c = 5.5118 Å
α = 90.00°, β = 90.00°, γ = 120.00°
Space group P-3m1 (No. 164)
Unique sites:
Sc 0.0000 0.0000 0.0000 (multiplicity 1)
Sc 0.3333 0.6667 0.3416 (multiplicity 2)
Ir 0.3333 0.6667 0.8367 (multiplicity 2)

Results
DOS at the Fermi energy, states/eV/atom: 0.714
Total energy, eV/f.u.: -190.1
Offset from the most stable computed form, eV/atom: 0.0000

A PBEsol-optimized structure of SiN3Cl, computed with SCAN.

a = 3.6411 Å, b = 3.6411 Å, c = 3.6411 Å
α = 90.00°, β = 90.00°, γ = 90.00°
Space group Pm-3m (No. 221)
Unique sites:
Si 0.0000 0.0000 0.0000 (multiplicity 1)
N 0.0000 0.0000 0.5000 (multiplicity 3)
Cl 0.5000 0.5000 0.5000 (multiplicity 1)

Results
DOS at the Fermi energy, states/eV/atom: 0.728
Total energy, eV/f.u.: -38.7
Formation energy from raw total energies, eV per atom: 1.429

A PBEsol-optimized structure of Ba5BiPb4O15, computed with SCAN.

a = 43.2991 Å, b = 6.0590 Å, c = 6.1303 Å
α = 90.00°, β = 98.11°, γ = 90.00°
Space group C2/m (No. 12)
Unique sites:
Ba 0.0497 0.0000 0.0427 (multiplicity 4)
Ba 0.0497 0.5000 0.5568 (multiplicity 4)
Ba 0.1487 0.0000 0.1516 (multiplicity 4)
Ba 0.1487 0.5000 0.6438 (multiplicity 4)
Ba 0.2499 0.0000 0.2478 (multiplicity 4)
Bi 0.1999 0.5000 0.1986 (multiplicity 4)
Pb 0.0000 0.0000 0.5000 (multiplicity 2)
Pb 0.0000 0.5000 0.0000 (multiplicity 2)
Pb 0.0994 0.5000 0.1008 (multiplicity 4)
Pb 0.0996 0.0000 0.5977 (multiplicity 4)
Pb 0.1996 0.0000 0.7003 (multiplicity 4)
O 0.0079 0.2499 0.7579 (multiplicity 8)
O 0.0500 0.0000 0.4813 (multiplicity 4)
O 0.0499 0.5000 0.1192 (multiplicity 4)
O 0.0938 0.2504 0.8437 (multiplicity 8)
O 0.1081 0.2503 0.3574 (multiplicity 8)
O 0.1502 0.0000 0.7128 (multiplicity 4)
O 0.1508 0.5000 0.0882 (multiplicity 4)
O 0.1939 0.2514 0.4405 (multiplicity 8)
O 0.2076 0.2517 0.9597 (multiplicity 8)
O 0.2502 0.0000 0.6902 (multiplicity 4)

Results
DOS at the Fermi energy, states/eV/atom: 0.024
Total energy, eV/f.u.: -719.6
Formation energy from raw total energies, eV per atom: -1.869

A PBEsol-optimized structure of Mg3Fe2Si3O12, computed with SCAN.

a = 11.4776 Å, b = 11.4776 Å, c = 11.4776 Å
α = 90.00°, β = 90.00°, γ = 90.00°
Space group Ia-3d (No. 230)
Unique sites:
Mg 0.0000 0.2500 0.1250 (multiplicity 24)
Fe 0.0000 0.0000 0.0000 (multiplicity 16)
Si 0.0000 0.2500 0.3750 (multiplicity 24)
O 0.0323 0.0527 0.6539 (multiplicity 96)

Results
DOS at the Fermi energy, states/eV/atom: 0.471
Total energy, eV/f.u.: -208.2
Formation energy from raw total energies, eV per atom: -2.608

A PBEsol-optimized structure of ZrTaAu, computed with SCAN.

a = 6.3782 Å, b = 6.3782 Å, c = 6.3782 Å
α = 90.00°, β = 90.00°, γ = 90.00°
Space group F-43m (No. 216)
Unique sites:
Zr 0.0000 0.0000 0.0000 (multiplicity 4)
Ta 0.2500 0.2500 0.2500 (multiplicity 4)
Au 0.0000 0.0000 0.5000 (multiplicity 4)

Results
DOS at the Fermi energy, states/eV/atom: 0.605
Total energy, eV/f.u.: -164.9
Offset from the most stable computed form, eV/atom: 0.8054

A PBEsol-optimized structure of TaBeAs2, computed with SCAN.

a = 3.5402 Å, b = 3.4440 Å, c = 9.9570 Å
α = 90.00°, β = 90.00°, γ = 90.00°
Space group Amm2 (No. 38)
Unique sites:
Ta 0.0000 0.0000 0.0000 (multiplicity 2)
Be 0.5000 0.0000 0.8135 (multiplicity 2)
As 0.0000 0.0000 0.2970 (multiplicity 2)
As 0.5000 0.0000 0.5906 (multiplicity 2)

Results
DOS at the Fermi energy, states/eV/atom: 0.200
Total energy, eV/f.u.: -112.5

A PBEsol-optimized structure of Li2HgPt, computed with SCAN.

a = 9.0084 Å, b = 2.9226 Å, c = 4.8312 Å
α = 90.00°, β = 102.49°, γ = 90.00°
Space group C2/m (No. 12)
Unique sites:
Li 0.2415 0.0000 0.2254 (multiplicity 4)
Hg 0.0000 0.0000 0.5000 (multiplicity 2)
Pt 0.0000 0.5000 0.0000 (multiplicity 2)

Results
DOS at the Fermi energy, states/eV/atom: 0.235
Total energy, eV/f.u.: -144.8

A PBEsol-optimized structure of NaPO3, computed with SCAN.

a = 6.9816 Å, b = 6.1834 Å, c = 13.8027 Å
α = 90.00°, β = 118.49°, γ = 90.00°
Space group P2_1/c (No. 14)
Unique sites:
Na 0.0013 0.1283 0.1305 (multiplicity 4)
Na 0.2563 0.1203 0.4940 (multiplicity 4)
P 0.2224 0.6353 0.2149 (multiplicity 4)
P 0.4271 0.6270 0.6092 (multiplicity 4)
O 0.0737 0.7077 0.7284 (multiplicity 4)
O 0.1249 0.0185 0.6194 (multiplicity 4)
O 0.2372 0.0251 0.0553 (multiplicity 4)
O 0.3480 0.5061 0.3298 (multiplicity 4)
O 0.4269 0.7383 0.7158 (multiplicity 4)
O 0.4538 0.7046 0.0392 (multiplicity 4)

Results
DOS at the Fermi energy, states/eV/atom: 0.000
Total energy, eV/f.u.: -45.6
Formation energy from raw total energies, eV per atom: -2.454

Copy entry 8 word for word.
A PBEsol-optimized structure of Mg3Fe2Si3O12, computed with SCAN.

a = 11.4776 Å, b = 11.4776 Å, c = 11.4776 Å
α = 90.00°, β = 90.00°, γ = 90.00°
Space group Ia-3d (No. 230)
Unique sites:
Mg 0.0000 0.2500 0.1250 (multiplicity 24)
Fe 0.0000 0.0000 0.0000 (multiplicity 16)
Si 0.0000 0.2500 0.3750 (multiplicity 24)
O 0.0323 0.0527 0.6539 (multiplicity 96)

Results
DOS at the Fermi energy, states/eV/atom: 0.471
Total energy, eV/f.u.: -208.2
Formation energy from raw total energies, eV per atom: -2.608